DFT (GGA+U) results for crystalline SmCoO3 at its relaxed geometry.

Cell: 3.7587 3.7587 3.7587 Å, 90.00 90.00 90.00°
Element x y z (fractional)
1 Sm 0.5000 0.5000 0.5000
2 Co 0.0000 0.0000 0.0000
3 O 0.5000 0.0000 0.0000
4 O 0.0000 0.5000 0.0000
5 O 0.0000 0.0000 0.5000

* symmetry: No. 221
* final energy: -35.0 eV/cell